1.
The following is a DFT calculation (GGA-PBE) of a geometry-optimized LaSc3Au2 structure.

```
12
Lattice="-2.529 -4.008 0.391 1.386 -0.216 6.759 -7.160 4.676 1.618" Properties=species:S:1:pos:R:3 pbc="T T T"
La -4.620 0.541 4.583
La -4.340 0.013 0.984
Sc -6.045 4.281 4.787
Sc 0.919 0.078 6.750
Sc -1.513 -1.392 4.868
Sc -7.059 1.886 2.585
Sc -1.728 1.368 2.847
Sc -3.775 3.050 6.845
Au -6.373 1.854 6.701
Au -1.911 -1.405 2.157
Au -4.429 3.062 2.742
Au -1.355 1.399 5.583
```

E_form = -0.58 eV/atom
Calculated volume = 23.806 Å³ per atom
Final energy = -5.663 eV per atom
ρ = 7.763 g/cm3

2.
The following is a DFT calculation (GGA-PBE) of a geometry-optimized La2ScAu structure.

```
4
Lattice="10.068 -0.036 -0.021 9.377 3.666 -0.021 9.377 1.751 3.221" Properties=species:S:1:pos:R:3 pbc="T T T"
Au 21.852 4.080 2.410
La 0.387 0.072 0.043
La 7.104 1.326 0.784
Sc 13.889 2.593 1.532
```

E_form = -0.23 eV/atom
Calculated volume = 30.171 Å³ per atom
Final energy = -5.099 eV per atom
ρ = 7.151 g/cm3

3.
The following is a DFT calculation (GGA-PBE) of a geometry-optimized La2ScAu structure.

```
4
Lattice="-3.241 0.881 -1.278 -1.540 -1.457 2.901 0.471 7.716 4.125" Properties=species:S:1:pos:R:3 pbc="T T T"
Sc 0.263 4.302 2.300
Au -2.056 5.199 3.745
La 0.450 7.376 3.943
La -2.261 1.838 1.948
```

E_form = -0.37 eV/atom
Calculated volume = 28.289 Å³ per atom
Final energy = -5.233 eV per atom
ρ = 7.627 g/cm3

4.
The following is a DFT calculation (GGA-PBE) of a geometry-optimized LaSc2Au structure.

```
4
Lattice="5.070 -0.067 0.000 0.064 5.070 0.000 0.000 0.000 3.606" Properties=species:S:1:pos:R:3 pbc="T T T"
Au 2.535 -0.034 1.803
La 0.032 2.535 1.803
Sc 0.000 0.000 0.000
Sc 2.567 2.501 0.000
```

E_form = -0.18 eV/atom
Calculated volume = 23.175 Å³ per atom
Final energy = -5.399 eV per atom
ρ = 7.627 g/cm3

5.
The following is a DFT calculation (GGA-PBE) of a geometry-optimized La2ScAu2 structure.

```
5
Lattice="-7.304 3.013 0.840 -5.663 1.864 -5.252 5.287 -5.404 2.443" Properties=species:S:1:pos:R:3 pbc="T T T"
La -7.929 2.982 -2.698
La -5.038 1.895 -1.714
Sc 0.000 0.000 0.000
Au -3.430 -0.551 -2.508
Au -4.250 0.024 0.539
```

E_form = -0.11 eV/atom
Calculated volume = 29.900 Å³ per atom
Final energy = -4.659 eV per atom
ρ = 7.961 g/cm3

6.
The following is a DFT calculation (GGA-PBE) of a geometry-optimized LaScAu4 structure.

```
6
Lattice="0.000 4.014 4.014 4.014 0.000 4.014 4.014 4.014 0.000" Properties=species:S:1:pos:R:3 pbc="T T T"
La 6.021 6.021 6.021
Sc 0.000 0.000 0.000
Au 3.005 5.024 5.024
Au 5.024 5.024 3.005
Au 5.024 3.005 5.024
Au 3.005 3.005 3.005
```

E_form = -0.47 eV/atom
Calculated volume = 21.562 Å³ per atom
Final energy = -4.527 eV per atom
ρ = 12.473 g/cm3

7.
The following is a DFT calculation (GGA-PBE) of a geometry-optimized La2ScAu structure.

```
4
Lattice="-6.419 -4.630 -6.234 -3.269 -4.650 -8.318 -3.839 -7.343 -5.731" Properties=species:S:1:pos:R:3 pbc="T T T"
Au -10.145 -12.466 -15.212
La -0.103 -0.126 -0.154
La -6.661 -8.185 -9.988
Sc -3.382 -4.155 -5.071
```

E_form = -0.21 eV/atom
Calculated volume = 30.385 Å³ per atom
Final energy = -5.072 eV per atom
ρ = 7.101 g/cm3

8.
The following is a DFT calculation (GGA-PBE) of a geometry-optimized La3ScAu2 structure.

```
12
Lattice="6.520 0.000 -2.707 -1.113 6.269 -2.680 -0.157 -0.060 8.827" Properties=species:S:1:pos:R:3 pbc="T T T"
La 1.815 4.296 0.393
La 3.435 1.912 3.047
La -0.823 5.046 3.244
La 6.073 1.162 0.196
La 2.425 4.701 -3.363
La 2.982 1.567 -2.023
Sc -0.278 1.567 -0.670
Sc -0.834 4.701 -2.010
Au 1.983 0.676 0.758
Au 3.267 5.532 2.682
Au 0.149 2.398 5.547
Au 5.101 3.810 -2.107
```

E_form = -0.54 eV/atom
Calculated volume = 29.736 Å³ per atom
Final energy = -5.151 eV per atom
ρ = 7.963 g/cm3

9.
The following is a DFT calculation (GGA-PBE) of a geometry-optimized LaScAu2 structure.

```
4
Lattice="3.842 0.000 0.000 0.000 3.842 0.000 0.000 0.000 6.674" Properties=species:S:1:pos:R:3 pbc="T T T"
Au 0.000 0.000 6.461
Au 1.921 1.921 1.631
La 0.000 0.000 3.099
Sc 1.921 1.921 5.495
```

E_form = -0.58 eV/atom
Calculated volume = 24.633 Å³ per atom
Final energy = -5.029 eV per atom
ρ = 9.737 g/cm3

10.
The following is a DFT calculation (GGA-PBE) of a geometry-optimized LaSc2Au structure.

```
4
Lattice="-0.991 2.068 -2.667 0.889 -2.521 -2.285 -7.688 -3.114 0.443" Properties=species:S:1:pos:R:3 pbc="T T T"
Au -3.479 -1.409 0.200
La -5.621 -2.482 -2.155
Sc -0.289 -0.117 0.017
Sc -2.245 -1.115 -2.350
```

E_form = -0.34 eV/atom
Calculated volume = 25.682 Å³ per atom
Final energy = -5.560 eV per atom
ρ = 6.882 g/cm3

11.
The following is a DFT calculation (GGA-PBE) of a geometry-optimized La2ScAu structure.

```
4
Lattice="3.869 0.000 0.000 0.000 3.869 0.000 0.000 0.000 7.758" Properties=species:S:1:pos:R:3 pbc="T T T"
Au 1.934 1.934 5.818
La 0.000 0.000 7.593
La 0.000 0.000 4.044
Sc 1.934 1.934 1.939
```

E_form = -0.33 eV/atom
Calculated volume = 29.025 Å³ per atom
Final energy = -5.194 eV per atom
ρ = 7.433 g/cm3

12.
The following is a DFT calculation (GGA-PBE) of a geometry-optimized LaSc2Au structure.

```
4
Lattice="-0.625 0.831 -3.332 3.043 -1.436 -0.930 -3.709 -7.156 -1.088" Properties=species:S:1:pos:R:3 pbc="T T T"
Au 0.281 -2.092 -2.403
La -1.573 -5.670 -2.947
Sc -0.205 -0.396 -0.060
Sc -1.649 -3.182 -0.484
```

E_form = -0.37 eV/atom
Calculated volume = 24.775 Å³ per atom
Final energy = -5.589 eV per atom
ρ = 7.135 g/cm3

13.
The following is a DFT calculation (GGA-PBE) of a geometry-optimized La2ScAu4 structure.

```
7
Lattice="4.848 0.000 0.000 0.000 5.051 -1.911 0.000 0.100 7.897" Properties=species:S:1:pos:R:3 pbc="T T T"
La 2.424 0.894 2.362
La 2.424 4.258 3.624
Sc 0.000 2.526 -0.955
Au 2.424 3.010 0.324
Au 0.000 3.555 1.766
Au 2.424 2.142 5.662
Au 0.000 1.596 4.220
```

E_form = -0.57 eV/atom
Calculated volume = 27.757 Å³ per atom
Final energy = -4.757 eV per atom
ρ = 9.492 g/cm3

14.
The following is a DFT calculation (GGA-PBE) of a geometry-optimized La2ScAu structure.

```
4
Lattice="5.878 -0.033 0.000 2.123 5.482 0.000 -4.001 -2.724 3.336" Properties=species:S:1:pos:R:3 pbc="T T T"
Au 2.939 -0.017 1.668
La 0.000 0.000 0.000
La 4.001 2.724 0.000
Sc 1.061 2.741 1.668
```

E_form = -0.22 eV/atom
Calculated volume = 26.936 Å³ per atom
Final energy = -5.090 eV per atom
ρ = 8.010 g/cm3

15.
The following is a DFT calculation (GGA-PBE) of a geometry-optimized LaScAu3 structure.

```
5
Lattice="-0.626 -4.842 2.407 4.245 1.061 3.237 -3.349 2.250 3.654" Properties=species:S:1:pos:R:3 pbc="T T T"
Sc 0.136 -0.765 4.649
Au 2.123 0.530 1.619
Au -1.674 1.125 1.827
Au -0.313 -2.421 1.204
La 0.000 0.000 0.000
```

E_form = 0.35 eV/atom
Calculated volume = 32.253 Å³ per atom
Final energy = -3.870 eV per atom
ρ = 7.978 g/cm3

16.
The following is a DFT calculation (GGA-PBE) of a geometry-optimized LaScAu structure.

```
3
Lattice="-0.464 -4.872 0.960 2.977 -2.174 3.358 -1.860 -1.514 4.372" Properties=species:S:1:pos:R:3 pbc="T T T"
Au 0.490 -6.419 6.518
La 0.000 0.000 0.000
Sc 0.327 -4.280 4.345
```

E_form = -0.34 eV/atom
Calculated volume = 29.231 Å³ per atom
Final energy = -5.185 eV per atom
ρ = 7.211 g/cm3

17.
The following is a DFT calculation (GGA-PBE) of a geometry-optimized LaSc2Au structure.

```
4
Lattice="1.958 0.000 10.641 -0.979 1.695 10.641 -0.979 -1.695 10.641" Properties=species:S:1:pos:R:3 pbc="T T T"
Sc 0.000 0.000 28.641
Sc 0.000 0.000 3.281
Au 0.000 0.000 15.961
La 0.000 0.000 0.000
```

E_form = -0.08 eV/atom
Calculated volume = 26.487 Å³ per atom
Final energy = -5.299 eV per atom
ρ = 6.673 g/cm3

18.
The following is a DFT calculation (GGA-PBE) of a geometry-optimized La2ScAu structure.

```
8
Lattice="8.806 0.000 0.000 0.000 8.806 0.000 4.403 4.403 3.152" Properties=species:S:1:pos:R:3 pbc="T T T"
Sc 4.403 4.403 0.000
Sc 4.403 8.806 1.576
Au 0.000 0.000 0.000
Au 8.806 4.403 1.576
La 7.006 2.202 0.788
La 1.800 6.605 0.788
La 6.605 6.203 2.364
La 11.008 11.410 2.364
```

E_form = -0.12 eV/atom
Calculated volume = 30.555 Å³ per atom
Final energy = -4.984 eV per atom
ρ = 7.061 g/cm3

19.
The following is a DFT calculation (GGA-PBE) of a geometry-optimized LaSc2Au structure.

```
4
Lattice="-6.262 1.245 7.478 -7.179 -2.044 6.400 -4.419 -1.597 8.637" Properties=species:S:1:pos:R:3 pbc="T T T"
Au -4.465 -0.599 5.629
La -13.395 -1.797 16.886
Sc -17.553 -2.355 22.127
Sc -9.238 -1.239 11.645
```

E_form = -0.19 eV/atom
Calculated volume = 26.686 Å³ per atom
Final energy = -5.405 eV per atom
ρ = 6.623 g/cm3

20.
The following is a DFT calculation (GGA-PBE) of a geometry-optimized LaSc2Au structure.

```
4
Lattice="3.572 0.000 0.000 1.786 3.093 0.000 1.786 1.031 9.648" Properties=species:S:1:pos:R:3 pbc="T T T"
La 3.572 2.062 4.756
Sc 1.786 1.031 7.755
Sc 1.786 1.031 1.932
Au 3.572 2.062 0.030
```

E_form = -0.21 eV/atom
Calculated volume = 26.649 Å³ per atom
Final energy = -5.430 eV per atom
ρ = 6.633 g/cm3